1.
Density functional theory data (PBE) for a geometry-optimized Ac2B2C3 structure.

Results
The electronic total energy is -101.33 eV for the cell shown. Its calculated formation energy is -0.203 eV/atom.

Unit cell a=14.4862 b=4.0698 c=4.2640 alpha=90.00 beta=93.31 gamma=90.00
Space group C2/m (No. 12)
Inequivalent atoms, fractional coordinates:
Ac 0.1461 0.0000 0.2632 (multiplicity 4)
B 0.0791 0.5000 0.8136 (multiplicity 4)
C 0.0000 0.5000 0.0000 (multiplicity 2)
C 0.1712 0.5000 0.7125 (multiplicity 4)

2.
Density functional theory data (PBE) for a geometry-optimized Sr6LiCa12 structure.

Results
The electronic total energy is -103.37 eV for the cell shown. Its calculated formation energy is 0.082 eV/atom.

Unit cell a=13.5893 b=13.5893 c=16.4386 alpha=90.00 beta=90.00 gamma=120.00
Space group R-3 (No. 148, hexagonal axes)
Inequivalent atoms, fractional coordinates:
Sr 0.0334 0.5942 0.2085 (multiplicity 18)
Li 0.0000 0.0000 0.5000 (multiplicity 3)
Ca 0.0406 0.8595 0.3096 (multiplicity 18)
Ca 0.0636 0.2064 0.9099 (multiplicity 18)

3.
Density functional theory data (PBE) for a geometry-optimized CdHgW2 structure.

Results
The electronic total energy is -23.93 eV for the cell shown. Its calculated formation energy is 0.799 eV/atom. As for the energy above the most stable polymorph in this dataset: 368 meV per atom.

Unit cell a=2.7878 b=4.6539 c=5.5742 alpha=90.00 beta=90.00 gamma=90.00
Space group Pmmm (No. 47)
Inequivalent atoms, fractional coordinates:
Cd 0.0000 0.0000 0.0000 (multiplicity 1)
Hg 0.0000 0.0000 0.5000 (multiplicity 1)
W 0.5000 0.5000 0.2400 (multiplicity 2)

4.
Density functional theory data (PBE) for a geometry-optimized PuAlGeAu structure.

Results
The electronic total energy is -108.89 eV for the cell shown. Its calculated formation energy is -0.313 eV/atom.

Unit cell a=6.8694 b=6.8694 c=6.8694 alpha=90.00 beta=90.00 gamma=90.00
Space group F-43m (No. 216)
Inequivalent atoms, fractional coordinates:
Pu 0.0000 0.0000 0.0000 (multiplicity 4)
Al 0.0000 0.0000 0.5000 (multiplicity 4)
Ge 0.2500 0.2500 0.7500 (multiplicity 4)
Au 0.2500 0.2500 0.2500 (multiplicity 4)

5.
Density functional theory data (PBE) for a geometry-optimized Pu2ZnSb structure.

Results
The electronic total energy is -141.27 eV for the cell shown. As for the energy above the most stable polymorph in this dataset: 43 meV per atom. Its formation energy from raw total energies is -0.3144 eV/atom.

Unit cell a=7.3974 b=7.3974 c=7.3974 alpha=90.00 beta=90.00 gamma=90.00
Space group Fm-3m (No. 225)
Inequivalent atoms, fractional coordinates:
Pu 0.2500 0.2500 0.2500 (multiplicity 8)
Zn 0.0000 0.0000 0.0000 (multiplicity 4)
Sb 0.0000 0.0000 0.5000 (multiplicity 4)

6.
Density functional theory data (PBE) for a geometry-optimized Li3Dy2ErSe6 structure.

Results
The electronic total energy is -121.58 eV for the cell shown. Its formation energy from raw total energies is -1.6977 eV/atom.

Unit cell a=7.0281 b=12.1733 c=6.9071 alpha=90.00 beta=109.83 gamma=90.00
Space group C2/m (No. 12)
Inequivalent atoms, fractional coordinates:
Li 0.0000 0.0000 0.0000 (multiplicity 2)
Li 0.0000 0.3333 0.0000 (multiplicity 4)
Dy 0.0000 0.1666 0.5000 (multiplicity 4)
Er 0.0000 0.5000 0.5000 (multiplicity 2)
Se 0.2472 0.5000 0.2477 (multiplicity 4)
Se 0.2502 0.1657 0.2473 (multiplicity 8)

7.
Density functional theory data (PBE) for a geometry-optimized Hf2ZrCd structure.

Results
The electronic total energy is -87.88 eV for the cell shown. Its calculated formation energy is 0.019 eV/atom.

Unit cell a=3.2096 b=3.2096 c=30.4356 alpha=90.00 beta=90.00 gamma=120.00
Space group R-3m (No. 166, hexagonal axes)
Inequivalent atoms, fractional coordinates:
Hf 0.0000 0.0000 0.2491 (multiplicity 6)
Zr 0.0000 0.0000 0.5000 (multiplicity 3)
Cd 0.0000 0.0000 0.0000 (multiplicity 3)

8.
Density functional theory data (PBE) for a geometry-optimized Tb5Sm2Y2 structure.

Results
The electronic total energy is -174.54 eV for the cell shown. Its calculated formation energy is 0.209 eV/atom. As for the energy above the most stable polymorph in this dataset: 193 meV per atom.

Unit cell a=14.9265 b=11.8435 c=6.7388 alpha=90.00 beta=90.00 gamma=90.00
Space group Ima2 (No. 46)
Inequivalent atoms, fractional coordinates:
Tb 0.0519 0.2470 0.0000 (multiplicity 8)
Tb 0.1430 0.7340 0.8151 (multiplicity 8)
Tb 0.2500 0.2451 0.8070 (multiplicity 4)
Sm 0.0000 0.0000 0.1888 (multiplicity 4)
Sm 0.2500 0.5079 0.6062 (multiplicity 4)
Y 0.1263 0.0009 0.6515 (multiplicity 8)

Number 1: DOS at the Fermi energy 0.57 states/eV/cell. Number 2: DOS at the Fermi energy 66.61 states/eV/cell. Number 3: DOS at the Fermi energy 2.07 states/eV/cell. Number 4: DOS at the Fermi energy 42.39 states/eV/cell. Number 5: DOS at the Fermi energy 58.57 states/eV/cell. Number 6: DOS at the Fermi energy 0.00 states/eV/cell. Number 7: DOS at the Fermi energy 10.97 states/eV/cell. Number 8: DOS at the Fermi energy 56.40 states/eV/cell.